This record from the Alexandria database describes a relaxed BaSiAgPd2 crystal. The functional is PBE.

```
BaSiAgPd2
1.0
-4.439 1.825 -0.440
-1.281 -3.770 -2.717
-1.406 -2.443 4.052
Si Pd Ba Ag
1 2 1 1
Direct
0.000 0.000 0.000
0.000 0.500 0.000
0.500 0.000 0.000
0.500 0.500 0.500
0.000 0.000 0.500
```

Values from the calculation:
The value obtained for the formation energy from raw total energies is -0.382 eV/atom. As for the space group: P4/mmm.



This record from the Alexandria database describes a relaxed Ba2SiAgPd crystal. The functional is PBE.

```
Ba2SiAgPd
1.0
-1.147 3.920 4.671
-4.122 -4.001 2.345
3.330 -1.978 2.478
Si Pd Ba Ag
1 1 2 1
Direct
0.000 0.000 0.500
0.000 0.000 0.000
0.000 0.500 0.000
0.500 0.000 0.000
0.500 0.500 0.500
```

Values from the calculation:
The value obtained for the formation energy from raw total energies is -0.293 eV/atom. As for the space group: P4/mmm.



This record from the Alexandria database describes a relaxed BaSiAg2Pd crystal. The functional is PBE.

```
BaSiAg2Pd
1.0
4.957 0.000 0.000
0.000 4.957 0.000
0.000 0.000 4.885
Si Pd Ba Ag
1 1 1 2
Direct
0.000 0.000 0.000
0.000 0.000 0.500
0.500 0.500 0.500
0.000 0.500 0.000
0.500 0.000 0.000
```

Values from the calculation:
The value obtained for the formation energy from raw total energies is -0.277 eV/atom. As for the space group: P4/mmm.



This record from the Alexandria database describes a relaxed BaSmAgPd crystal. The functional is PBE.

```
BaSmAgPd
1.0
5.389 0.000 0.000
2.695 4.667 0.000
2.695 1.556 4.400
Ag Pd Ba Sm
1 1 1 1
Direct
0.250 0.250 0.250
0.750 0.750 0.750
0.500 0.500 0.500
0.000 0.000 0.000
```

Values from the calculation:
As for the space group: F-43m. The formation energy is -1.153 eV/f.u.



This record from the Alexandria database describes a relaxed BaAgSnPd3 crystal. The functional is PBE.

```
BaAgSnPd3
1.0
-0.099 -7.014 -2.249
0.851 -1.926 5.971
-6.515 0.789 -2.174
Ba Ag Sn Pd
2 2 2 6
Direct
0.750 0.313 0.626
0.250 0.687 0.374
0.250 0.935 0.871
0.750 0.065 0.129
0.250 0.381 0.761
0.750 0.619 0.239
0.250 0.163 0.325
0.000 0.278 0.000
0.500 0.722 0.000
0.500 0.278 0.000
0.000 0.722 0.000
0.750 0.837 0.675
```

Values from the calculation:
As for the space group: Cmcm. The formation energy is -1.926 eV/f.u.



This record from the Alexandria database describes a relaxed Ba2AgSn3Pd4 crystal. The functional is PBE.

```
Ba2AgSn3Pd4
1.0
-2.983 1.176 3.523
3.013 -1.876 3.177
4.970 9.652 0.986
Ba Ag Sn Pd
2 1 3 4
Direct
0.500 0.000 0.252
0.000 0.500 0.748
0.500 0.500 0.500
0.000 0.000 0.500
0.500 0.000 0.883
0.000 0.500 0.117
0.500 0.500 0.000
0.000 0.000 0.000
0.500 0.000 0.633
0.000 0.500 0.367
```

Values from the calculation:
As for the space group: P-4m2. The formation energy is -6.273 eV/f.u.



We obtain calculated density values of 7.0, 4.9, 6.7, 7.5, 7.9, 7.8 Mg/m³ for the records listed above, in that order.
We obtain volume values of 22.9, 35.4, 24.0, 27.7, 23.9, 24.7 Å³/atom for the records listed above, in that order.